ReTe2AsN | GGA-PBE | optimized geometry

## Properties
M_tot = 0.0 μB per formula unit
excess energy over the best structure of this formula in the dataset = 0.0 meV per atom
space-group type = P4/mmm, No. 123

Cell lengths 5.394, 5.394, 3.743 Å; angles 90.00, 90.00, 90.00 degrees
Atoms (fractional coordinates):
Re  0.000  0.000  0.000
Te  0.500  0.000  0.000
Te  0.000  0.500  0.000
N  0.000  0.000  0.500
As  0.500  0.500  0.500


ReTe2AsN | GGA-PBE | optimized geometry

## Properties
M_tot = 0.0 μB per formula unit
excess energy over the best structure of this formula in the dataset = 1259.3 meV per atom
space-group type = P4/mmm, No. 123

Cell lengths 5.232, 4.670, 5.232 Å; angles 90.00, 90.00, 90.00 degrees
Atoms (fractional coordinates):
Te  0.500  0.000  0.000
Te  0.000  0.000  0.500
As  0.000  0.500  0.000
N  0.500  0.500  0.500
Re  0.000  0.000  0.000


TlReAs2N | GGA-PBE | optimized geometry

## Properties
total DFT energy (no corrections) = -5.136 eV per atom
M_tot = 0.3 μB per formula unit
space-group type = P4/mmm, No. 123

Cell lengths 4.179, 4.844, 4.179 Å; angles 90.00, 90.00, 90.00 degrees
Site moments in Bohr magnetons follow the coordinates.
Atoms (fractional coordinates):
Tl  0.000  0.500  0.000  -0.02
Re  0.500  0.500  0.500  0.41
N  0.000  0.000  0.000  -0.05
As  0.000  0.000  0.500  -0.01
As  0.500  0.000  0.000  -0.02